CaHo2MgTl4 | PBE | optimized geometry

The space group is R-3m (No. 166, hexagonal axes) and the conventional cell measures 5.2943, 5.2943 and 26.6371 Å, with angles of 90.00, 90.00 and 120.00 degrees. The asymmetric unit holds Ca at (0.0000, 0.0000, 0.0000), Ho at (0.0000, 0.0000, 0.2448), Mg at (0.0000, 0.0000, 0.5000), Tl at (0.0000, 0.0000, 0.1251) and Tl at (0.0000, 0.0000, 0.3763).

The volume comes out at 26.94 A^3/atom. As for the total energy: -3.055 eV/atom. The total magnetization is 0.000 Bohr magnetons per cell. The calculation puts the calculated formation energy at -278 meV/atom.

=====

CaHoTmMg | PBE | optimized geometry

The space group is F-43m (No. 216) and the conventional cell measures 7.870, 7.870 and 7.870 Å, with angles of 90.00, 90.00 and 90.00 degrees. The asymmetric unit holds Ca at (0.000, 0.000, 0.000), Ho at (0.000, 0.000, 0.500), Tm at (0.250, 0.250, 0.750) and Mg at (0.250, 0.250, 0.250).

The volume comes out at 30.47 A^3/atom. As for the total energy: -3.068 eV/atom. The total magnetization is 0.000 Bohr magnetons per cell. The calculation puts the calculated formation energy at 93 meV/atom.